Entry from Alexandria via LeMat-Bulk: an optimized crystal structure of Ho2CuPt (GGA-PBE).

CIF file:
```
data_Ho2CuPt
_cell_length_a 5.516
_cell_length_b 4.488
_cell_length_c 7.450
_cell_angle_alpha 90.00
_cell_angle_beta 109.81
_cell_angle_gamma 90.00
_symmetry_space_group_name_H-M 'P 1 21/m 1'
_symmetry_Int_Tables_number 11
_symmetry_space_group_name_Hall '-P 2yb'
loop_
_atom_site_label
_atom_site_fract_x
_atom_site_fract_y
_atom_site_fract_z
_atom_site_occupancy
Ho1 0.220 0.250 0.433 1
Ho2 0.224 0.250 0.928 1
Cu1 0.340 0.750 0.208 1
Pt1 0.343 0.750 0.712 1
```

---

Entry from Alexandria via LeMat-Bulk: an optimized crystal structure of Ho5Cu2Pt (GGA-PBE).

CIF file:
```
data_Ho5Cu2Pt
_cell_length_a 7.015
_cell_length_b 7.015
_cell_length_c 15.353
_cell_angle_alpha 90.00
_cell_angle_beta 90.00
_cell_angle_gamma 90.00
_symmetry_space_group_name_H-M 'I 4/m c m'
_symmetry_Int_Tables_number 140
_symmetry_space_group_name_Hall '-I 4 2c'
loop_
_atom_site_label
_atom_site_fract_x
_atom_site_fract_y
_atom_site_fract_z
_atom_site_occupancy
Ho1 0.000 0.000 0.000 1
Ho2 0.174 0.326 0.150 1
Cu1 0.123 0.377 0.500 1
Pt1 0.000 0.000 0.250 1
```

---

Entry from Alexandria via LeMat-Bulk: an optimized crystal structure of Ho5Cu4Pt (GGA-PBE).

CIF file:
```
data_Ho5Cu4Pt
_cell_length_a 3.442
_cell_length_b 3.442
_cell_length_c 17.497
_cell_angle_alpha 90.00
_cell_angle_beta 90.00
_cell_angle_gamma 90.00
_symmetry_space_group_name_H-M 'P 4/m m m'
_symmetry_Int_Tables_number 123
_symmetry_space_group_name_Hall '-P 4 2'
loop_
_atom_site_label
_atom_site_fract_x
_atom_site_fract_y
_atom_site_fract_z
_atom_site_occupancy
Ho1 0.000 0.000 0.000 1
Ho2 0.000 0.000 0.200 1
Ho3 0.000 0.000 0.401 1
Cu1 0.500 0.500 0.099 1
Cu2 0.500 0.500 0.298 1
Pt1 0.500 0.500 0.500 1
```

---

Entry from Alexandria via LeMat-Bulk: an optimized crystal structure of HoCu4Pt4 (GGA-PBE).

CIF file:
```
data_HoCu4Pt4
_cell_length_a 7.948
_cell_length_b 7.948
_cell_length_c 4.601
_cell_angle_alpha 90.00
_cell_angle_beta 90.00
_cell_angle_gamma 90.00
_symmetry_space_group_name_H-M 'P 42/n'
_symmetry_Int_Tables_number 86
loop_
_symmetry_equiv_pos_as_xyz
'x,y,z'
'-x,-y,-z'
'-y,x+1/2,z+1/2'
'y,-x+1/2,-z+1/2'
'-x+1/2,-y+1/2,z'
'x+1/2,y+1/2,-z'
'y+1/2,-x,z+1/2'
'-y+1/2,x,-z+1/2'
loop_
_atom_site_label
_atom_site_fract_x
_atom_site_fract_y
_atom_site_fract_z
_atom_site_occupancy
Ho1 0.250 0.250 0.250 1
Cu1 0.029 0.128 0.749 1
Pt1 0.100 0.820 0.751 1
```

---

What did we get for E? Answer: -5.66; -5.11; -5.00; -5.22 eV/atom, in the order shown.